[1]
A plane-wave DFT calculation with SCAN was carried out for a crystal of Zn3CuP2O9 relaxed with PBEsol.

Output
total magnetic moment: 4.06 Bohr magnetons per cell
electronic total energy: -10.79 eV per atom

Lattice parameters (Å, degrees): 9.8086 8.0036 9.6994 90.00 119.36 90.00
Last column: nearest neighbours and their distance in Å.
Space group C2/m (No. 12)
Unique sites:
Zn 0.0123 0.1955 0.3319  4 O 1.96-2.11
Zn 0.1531 0.5000 0.6112  4 O 1.86-1.97
Cu 0.0000 0.3109 0.0000  4 O 1.99-2.03
P 0.2015 0.0000 0.0005  4 O 1.51-1.57
P 0.2414 0.5000 0.3568  4 O 1.53-1.60
O 0.0000 0.3210 0.5000  4 Zn 1.97
O 0.1017 0.1587 0.9148  1 P 1.57
O 0.1174 0.0000 0.6718  1 P 1.54
O 0.1418 0.5000 0.0066  1 P 1.57
O 0.1478 0.3396 0.2881  1 P 1.53
O 0.1874 0.0000 0.4558  1 P 1.60
O 0.2316 0.0000 0.1690  1 P 1.51

---

[2]
A plane-wave DFT calculation with SCAN was carried out for a crystal of ReRuAu2 relaxed with PBEsol.

Output
total magnetic moment: 3.28 Bohr magnetons per cell
E above lowest polymorph: 0.0 kJ/mol of formula units

Lattice parameters (Å, degrees): 2.7703 2.7703 27.5315 90.00 90.00 120.00
Last column: nearest neighbours and their distance in Å.
Space group R-3m (No. 166, hexagonal axes)
Unique sites:
Re 0.0000 0.0000 0.0000  6 Re 2.77, 6 Au 2.81
Ru 0.0000 0.0000 0.5000  6 Ru 2.77, 6 Au 2.79
Au 0.0000 0.0000 0.2496  6 Au 2.77, 3 Ru 2.79, 3 Re 2.81

---

[3]
A plane-wave DFT calculation with SCAN was carried out for a crystal of MgSeSCl2 relaxed with PBEsol.

Output
total magnetic moment: 1.21 Bohr magnetons per cell
electronic total energy: -10.54 eV per atom

Lattice parameters (Å, degrees): 4.5611 4.5611 5.3063 90.00 90.00 90.00
Last column: nearest neighbours and their distance in Å.
Space group P4/mmm (No. 123)
Unique sites:
Mg 0.0000 0.0000 0.0000  4 Cl 2.28
Se 0.5000 0.5000 0.5000  4 S 3.23, 8 Cl 3.50
S 0.0000 0.0000 0.5000  2 Mg 2.65
Cl 0.0000 0.5000 0.0000  2 Mg 2.28